<1>
A geometry-optimized Tb2Er2Zn structure. Source: the Alexandria database, functional PBE-GGA. Values from VASP.

Structure (Quantum ESPRESSO input):
```
&SYSTEM
  ibrav = 0, nat = 10, ntyp = 3
/
ATOMIC_SPECIES
Tb 158.93 Tb.upf
Er 167.26 Er.upf
Zn 65.41 Zn.upf
ATOMIC_POSITIONS crystal
Tb 0.0507 0.3007 0.7500
Tb 0.3007 0.0507 0.2500
Tb 0.6993 0.9493 0.7500
Tb 0.9493 0.6993 0.2500
Er 0.1942 0.4442 0.7500
Er 0.4442 0.1942 0.2500
Er 0.5558 0.8058 0.7500
Er 0.8058 0.5558 0.2500
Zn 0.1250 0.8750 0.2500
Zn 0.8750 0.1250 0.7500
CELL_PARAMETERS angstrom
-2.4777 2.4777 11.9959
2.4777 -2.4777 11.9959
2.4777 2.4777 -11.9959
```

=====

<2>
A geometry-optimized Tb2Er2Zn structure. Source: the Alexandria database, functional PBE-GGA. Values from VASP.

Structure (Quantum ESPRESSO input):
```
&SYSTEM
  ibrav = 0, nat = 5, ntyp = 3
/
ATOMIC_SPECIES
Tb 158.93 Tb.upf
Er 167.26 Er.upf
Zn 65.41 Zn.upf
ATOMIC_POSITIONS crystal
Tb 0.1938 0.1938 0.0000
Tb 0.8062 0.8062 0.0000
Er 0.4212 0.4212 0.0000
Er 0.5788 0.5788 0.0000
Zn 0.0000 0.0000 0.0000
CELL_PARAMETERS angstrom
-1.7664 1.7664 11.1359
1.7664 -1.7664 11.1359
1.7664 1.7664 -11.1359
```

=====

<2> ends up most stable, edging out the next structure by 0.137 eV/atom.

=====

<1>
A geometry-optimized TbErZn4 structure. Source: the Alexandria database, functional PBE-GGA. Values from VASP.

Structure (Quantum ESPRESSO input):
```
&SYSTEM
  ibrav = 0, nat = 6, ntyp = 3
/
ATOMIC_SPECIES
Tb 158.93 Tb.upf
Er 167.26 Er.upf
Zn 65.41 Zn.upf
ATOMIC_POSITIONS crystal
Tb 0.0000 0.0000 0.0000
Er 0.5000 0.0000 0.5000
Zn 0.0833 0.3335 0.7498
Zn 0.4164 0.6665 0.7498
Zn 0.5836 0.3335 0.2502
Zn 0.9167 0.6665 0.2502
CELL_PARAMETERS angstrom
-2.2431 3.4774 3.8660
2.2431 -3.4774 3.8660
2.2431 3.4774 -3.8660
```

=====

<2>
A geometry-optimized TbErZn4 structure. Source: the Alexandria database, functional PBE-GGA. Values from VASP.

Structure (Quantum ESPRESSO input):
```
&SYSTEM
  ibrav = 0, nat = 6, ntyp = 3
/
ATOMIC_SPECIES
Tb 158.93 Tb.upf
Er 167.26 Er.upf
Zn 65.41 Zn.upf
ATOMIC_POSITIONS crystal
Tb 0.0000 0.0000 0.0000
Er 0.7500 0.7500 0.7500
Zn 0.3750 0.3750 0.3750
Zn 0.3750 0.3750 0.8749
Zn 0.3750 0.8749 0.3750
Zn 0.8749 0.3750 0.3750
CELL_PARAMETERS angstrom
0.0000 3.8533 3.8533
3.8533 0.0000 3.8533
3.8533 3.8533 0.0000
```

=====

<1> ends up most stable, edging out the next structure by 0.041 eV/atom.

=====

<1>
A geometry-optimized TbEr2Zr structure. Source: the Alexandria database, functional PBE-GGA. Values from VASP.

Structure (Quantum ESPRESSO input):
```
&SYSTEM
  ibrav = 0, nat = 4, ntyp = 3
/
ATOMIC_SPECIES
Tb 158.93 Tb.upf
Er 167.26 Er.upf
Zr 91.22 Zr.upf
ATOMIC_POSITIONS crystal
Tb 0.0000 0.0000 0.0000
Er 0.2500 0.2500 0.2500
Er 0.7500 0.7500 0.7500
Zr 0.5000 0.5000 0.5000
CELL_PARAMETERS angstrom
0.0000 3.8691 3.8691
3.8691 0.0000 3.8691
3.8691 3.8691 0.0000
```

=====

<2>
A geometry-optimized TbEr2Zr structure. Source: the Alexandria database, functional PBE-GGA. Values from VASP.

Structure (Quantum ESPRESSO input):
```
&SYSTEM
  ibrav = 0, nat = 4, ntyp = 3
/
ATOMIC_SPECIES
Tb 158.93 Tb.upf
Er 167.26 Er.upf
Zr 91.22 Zr.upf
ATOMIC_POSITIONS crystal
Tb 0.0000 0.0000 0.0000
Er 0.5000 0.5000 0.2751
Er 0.5000 0.5000 0.7249
Zr 0.0000 0.0000 0.5000
CELL_PARAMETERS angstrom
3.9893 0.0000 0.0000
0.0000 3.9893 0.0000
0.0000 0.0000 7.2382
```

=====

<3>
A geometry-optimized TbEr2Zr structure. Source: the Alexandria database, functional PBE-GGA. Values from VASP.

Structure (Quantum ESPRESSO input):
```
&SYSTEM
  ibrav = 0, nat = 8, ntyp = 3
/
ATOMIC_SPECIES
Tb 158.93 Tb.upf
Er 167.26 Er.upf
Zr 91.22 Zr.upf
ATOMIC_POSITIONS crystal
Tb 0.0000 0.5000 0.0000
Tb 0.5000 0.0000 0.5000
Er 0.0948 0.1239 0.2546
Er 0.1239 0.0948 0.7546
Er 0.8761 0.9052 0.2454
Er 0.9052 0.8761 0.7454
Zr 0.5000 0.5000 0.0000
Zr 0.5000 0.5000 0.5000
CELL_PARAMETERS angstrom
10.5944 -1.6687 0.0000
10.5944 1.6687 0.0000
-0.0694 0.0000 6.6435
```

=====

<3> ends up most stable, edging out the next structure by 0.023 eV/atom.

=====

<1>
A geometry-optimized Tb4Er5Zr structure. Source: the Alexandria database, functional PBE-GGA. Values from VASP.

Structure (Quantum ESPRESSO input):
```
&SYSTEM
  ibrav = 0, nat = 10, ntyp = 3
/
ATOMIC_SPECIES
Tb 158.93 Tb.upf
Er 167.26 Er.upf
Zr 91.22 Zr.upf
ATOMIC_POSITIONS crystal
Tb 0.0000 0.3210 0.3210
Tb 0.0000 0.6790 0.6790
Tb 0.3210 0.0000 0.3210
Tb 0.6790 0.0000 0.6790
Er 0.2380 0.2380 0.0000
Er 0.3464 0.3464 0.6308
Er 0.3464 0.7156 0.0000
Er 0.7156 0.3464 0.0000
Er 0.7156 0.7156 0.3692
Zr 0.7738 0.7738 0.0000
CELL_PARAMETERS angstrom
-5.1949 5.1949 2.9222
5.1949 -5.1949 2.9222
5.1949 5.1949 -2.9222
```

=====

<2>
A geometry-optimized Tb4Er5Zr structure. Source: the Alexandria database, functional PBE-GGA. Values from VASP.

Structure (Quantum ESPRESSO input):
```
&SYSTEM
  ibrav = 0, nat = 10, ntyp = 3
/
ATOMIC_SPECIES
Tb 158.93 Tb.upf
Er 167.26 Er.upf
Zr 91.22 Zr.upf
ATOMIC_POSITIONS crystal
Tb 0.0957 0.2880 0.1921
Tb 0.0958 0.8084 0.1921
Tb 0.9042 0.1916 0.8079
Tb 0.9043 0.7120 0.8079
Er 0.2993 0.8984 0.5984
Er 0.3004 0.4012 0.6008
Er 0.5000 0.5000 0.0000
Er 0.6996 0.5988 0.3992
Er 0.7007 0.1016 0.4016
Zr 0.5000 0.0000 0.0000
CELL_PARAMETERS angstrom
3.4826 0.0000 0.0000
-0.0215 7.0054 0.0000
-1.7410 -1.7406 12.3260
```

=====

<2> ends up most stable, edging out the next structure by 0.205 eV/atom.

=====

<1>
A geometry-optimized Tb2Er8Zr structure. Source: the Alexandria database, functional PBE-GGA. Values from VASP.

Structure (Quantum ESPRESSO input):
```
&SYSTEM
  ibrav = 0, nat = 11, ntyp = 3
/
ATOMIC_SPECIES
Tb 158.93 Tb.upf
Er 167.26 Er.upf
Zr 91.22 Zr.upf
ATOMIC_POSITIONS crystal
Tb 0.1858 0.1858 0.3203
Tb 0.8142 0.8142 0.6797
Er 0.1758 0.6634 0.1107
Er 0.2451 0.2451 0.8347
Er 0.3366 0.8242 0.8893
Er 0.4075 0.4075 0.5855
Er 0.5925 0.5925 0.4145
Er 0.6634 0.1758 0.1107
Er 0.7549 0.7549 0.1653
Er 0.8242 0.3366 0.8893
Zr 0.0000 0.0000 0.5000
CELL_PARAMETERS angstrom
8.2310 -3.2194 0.0000
8.2310 3.2194 0.0000
-1.4137 0.0000 6.3789
```

=====

<2>
A geometry-optimized Tb2Er8Zr structure. Source: the Alexandria database, functional PBE-GGA. Values from VASP.

Structure (Quantum ESPRESSO input):
```
&SYSTEM
  ibrav = 0, nat = 11, ntyp = 3
/
ATOMIC_SPECIES
Tb 158.93 Tb.upf
Er 167.26 Er.upf
Zr 91.22 Zr.upf
ATOMIC_POSITIONS crystal
Tb 0.2263 0.2263 0.1346
Tb 0.7737 0.7737 0.8654
Er 0.0441 0.0441 0.2368
Er 0.1316 0.1316 0.6744
Er 0.3214 0.3214 0.5903
Er 0.4113 0.4113 0.0560
Er 0.5887 0.5887 0.9440
Er 0.6786 0.6786 0.4097
Er 0.8684 0.8684 0.3256
Er 0.9559 0.9559 0.7632
Zr 0.5000 0.5000 0.5000
CELL_PARAMETERS angstrom
8.8827 -2.4581 0.0000
8.8827 2.4581 0.0000
-2.0437 0.0000 7.5239
```

=====

<2> ends up most stable, edging out the next structure by 0.167 eV/atom.

=====

<1>
A geometry-optimized Tb8Er2Zr structure. Source: the Alexandria database, functional PBE-GGA. Values from VASP.

Structure (Quantum ESPRESSO input):
```
&SYSTEM
  ibrav = 0, nat = 11, ntyp = 3
/
ATOMIC_SPECIES
Tb 158.93 Tb.upf
Er 167.26 Er.upf
Zr 91.22 Zr.upf
ATOMIC_POSITIONS crystal
Tb 0.0443 0.0443 0.2362
Tb 0.1325 0.1325 0.6762
Tb 0.3210 0.3210 0.5891
Tb 0.4104 0.4104 0.0556
Tb 0.5896 0.5896 0.9444
Tb 0.6790 0.6790 0.4109
Tb 0.8675 0.8675 0.3238
Tb 0.9557 0.9557 0.7638
Er 0.2260 0.2260 0.1342
Er 0.7740 0.7740 0.8658
Zr 0.5000 0.5000 0.5000
CELL_PARAMETERS angstrom
8.9464 -2.4804 0.0000
8.9464 2.4804 0.0000
-2.0851 0.0000 7.5868
```

=====

<2>
A geometry-optimized Tb8Er2Zr structure. Source: the Alexandria database, functional PBE-GGA. Values from VASP.

Structure (Quantum ESPRESSO input):
```
&SYSTEM
  ibrav = 0, nat = 11, ntyp = 3
/
ATOMIC_SPECIES
Tb 158.93 Tb.upf
Er 167.26 Er.upf
Zr 91.22 Zr.upf
ATOMIC_POSITIONS crystal
Tb 0.0949 0.0949 0.9154
Tb 0.1640 0.6755 0.6135
Tb 0.2532 0.2532 0.6610
Tb 0.3245 0.8360 0.3865
Tb 0.6755 0.1640 0.6135
Tb 0.7468 0.7468 0.3390
Tb 0.8360 0.3245 0.3865
Tb 0.9051 0.9051 0.0846
Er 0.3159 0.3159 0.1794
Er 0.6841 0.6841 0.8206
Zr 0.5000 0.5000 0.0000
CELL_PARAMETERS angstrom
8.2655 -3.2616 0.0000
8.2655 3.2616 0.0000
-1.3789 0.0000 6.3964
```

=====

<1> ends up most stable, edging out the next structure by 0.167 eV/atom.